A geometry-optimized Re7Tc structure, computed with PBE-GGA.

Computed properties:
E_form: 0.05 eV per atom
Theoretical density: 19.43 g/cm³
N(E_F): 0.9349 states/eV per atom
V: 15.0 A^3/atom
Uncorrected energy: -12.13 eV/atom

Cell lengths 5.5331, 5.5331, 5.5331 Å; angles 60.00, 60.00, 60.00 degrees
With the nearest neighbours (Å) after each atom.
Fractional coordinates of all 8 atoms:
Re1 0.0000 0.0000 0.5000  10 Re 2.77, 2 Tc 2.77
Re2 0.0000 0.5000 0.0000  10 Re 2.77, 2 Tc 2.77
Re3 0.0000 0.5000 0.5000  10 Re 2.77, 2 Tc 2.77
Re4 0.5000 0.0000 0.0000  10 Re 2.77, 2 Tc 2.77
Re5 0.5000 0.0000 0.5000  10 Re 2.77, 2 Tc 2.77
Re6 0.5000 0.5000 0.0000  2 Tc 2.77, 10 Re 2.77
Re7 0.5000 0.5000 0.5000  12 Re 2.77
Tc1 0.0000 0.0000 0.0000  12 Re 2.77